A relaxed Mn2CoHg crystal, computed with PBE.

SG = No. 122
formation enthalpy at 0 K = 241 kJ/mol of formula units

Lattice parameters (Å, degrees): 5.6437 5.6437 5.6437 103.03 103.03 123.31
Last column: nearest neighbours and their distance in Å.
Positions (direct):
Mn  0.0874  0.6250  0.9624  2 Co 2.40
Mn  0.3750  0.3374  0.4624  2 Co 2.40
Mn  0.6626  0.1250  0.0376  2 Co 2.40
Mn  0.8750  0.9126  0.5376  2 Co 2.40
Co  0.0000  0.0000  0.0000  4 Mn 2.40, 2 Hg 2.68
Co  0.7500  0.2500  0.5000  4 Mn 2.40, 2 Hg 2.68
Hg  0.2500  0.7500  0.5000  2 Co 2.68, 4 Mn 2.76
Hg  0.5000  0.5000  0.0000  2 Co 2.68, 4 Mn 2.76

A relaxed CaIn2Te4 crystal, computed with PBE.

energy relative to the elements, uncorrected = -0.6279 eV per atom
SG = No. 97

Lattice parameters (Å, degrees): 6.8348 6.8348 6.8348 105.70 105.70 117.32
Last column: nearest neighbours and their distance in Å.
Positions (direct):
Ca  0.0000  0.0000  0.0000  8 Te 3.49
In  0.0000  0.5000  0.5000  4 Te 2.85
In  0.5000  0.0000  0.5000  4 Te 2.85
Te  0.0597  0.5597  0.1193  2 In 2.85
Te  0.4403  0.9403  0.8807  2 In 2.85
Te  0.5597  0.4403  0.5000  2 In 2.85
Te  0.9403  0.0597  0.5000  2 In 2.85